Entry 1:
La2Al2Au: relaxed, PBE-GGA.

Lattice parameters (Å, degrees): 5.9992 5.9992 11.1494 115.67 115.67 46.31
Sites, in units of the cell vectors:
La: 0.0789 0.0789 0.3891
La: 0.3185 0.3185 0.8228
La: 0.6815 0.6815 0.1772
La: 0.9211 0.9211 0.6109
Al: 0.0913 0.0913 0.9487
Al: 0.3759 0.3759 0.3888
Al: 0.6241 0.6241 0.6112
Al: 0.9087 0.9087 0.0513
Au: 0.3765 0.3765 0.1489
Au: 0.6235 0.6235 0.8511

Results
excess energy over the best structure of this formula in the dataset = 0 meV/atom
magnetic moment = 0.0 Bohr magnetons per cell
space-group type = C2/m
DOS(E_F) = 4.44 states/eV/f.u.

Entry 2:
LaAlAu2: relaxed, PBE-GGA.

Lattice parameters (Å, degrees): 3.2591 3.3804 7.5681 90.00 90.00 90.00
Sites, in units of the cell vectors:
La: 0.0000 0.0000 0.0000
Al: 0.0000 0.0000 0.5000
Au: 0.5000 0.5000 0.3004
Au: 0.5000 0.5000 0.6996

Results
magnetic moment = 0.0 Bohr magnetons per cell
space-group type = Pmmm
DOS(E_F) = 2.05 states/eV/f.u.

Entry 3:
LaAl4Au8: relaxed, PBE-GGA.

Lattice parameters (Å, degrees): 7.1490 7.1490 7.1490 98.54 98.54 134.67
Sites, in units of the cell vectors:
La: 0.0000 0.0000 0.0000
Al: 0.0000 0.0000 0.5000
Al: 0.0000 0.5000 0.0000
Al: 0.5000 0.0000 0.0000
Al: 0.5000 0.5000 0.5000
Au: 0.0000 0.3312 0.3312
Au: 0.0000 0.6688 0.6688
Au: 0.2803 0.5000 0.7803
Au: 0.3312 0.0000 0.3312
Au: 0.5000 0.2803 0.7803
Au: 0.5000 0.7197 0.2197
Au: 0.6688 0.0000 0.6688
Au: 0.7197 0.5000 0.2197

Results
magnetic moment = 0.0 Bohr magnetons per cell
space-group type = I4/mmm
DOS(E_F) = 6.26 states/eV/f.u.

Entry 4:
La2Al5Au: relaxed, PBE-GGA.

Lattice parameters (Å, degrees): 6.4697 6.4697 6.4697 121.25 121.25 87.84
Sites, in units of the cell vectors:
La: 0.0000 0.5000 0.5000
La: 0.5000 0.0000 0.5000
Al: 0.0281 0.0281 0.0000
Al: 0.0343 0.0343 0.5762
Al: 0.0343 0.4581 0.0000
Al: 0.4581 0.0343 0.0000
Al: 0.4581 0.4581 0.4238
Au: 0.7458 0.7458 0.0000

Results
magnetic moment = 0.0 Bohr magnetons per cell
space-group type = I4mm
DOS(E_F) = 4.40 states/eV/f.u.

Entry 5:
LiLaAlAu3: relaxed, PBE-GGA.

Lattice parameters (Å, degrees): 6.7088 6.7088 6.7825 90.00 90.00 125.40
Sites, in units of the cell vectors:
Li: 0.0602 0.9398 0.7500
Li: 0.9398 0.0602 0.2500
La: 0.3058 0.6942 0.7500
La: 0.6942 0.3058 0.2500
Al: 0.3798 0.6202 0.2500
Al: 0.6202 0.3798 0.7500
Au: 0.1682 0.8318 0.2500
Au: 0.2629 0.2629 0.0000
Au: 0.2629 0.2629 0.5000
Au: 0.7371 0.7371 0.0000
Au: 0.7371 0.7371 0.5000
Au: 0.8318 0.1682 0.7500

Results
magnetic moment = 0.0 Bohr magnetons per cell
space-group type = Cmcm
DOS(E_F) = 1.96 states/eV/f.u.

Entry 6:
LiLaAl2Au4: relaxed, PBE-GGA.

Lattice parameters (Å, degrees): 9.2113 9.2113 9.2113 28.15 28.15 28.15
Sites, in units of the cell vectors:
Li: 0.0000 0.0000 0.0000
La: 0.5000 0.5000 0.5000
Al: 0.2633 0.2633 0.2633
Al: 0.7367 0.7367 0.7367
Au: 0.0985 0.0985 0.0985
Au: 0.3662 0.3662 0.3662
Au: 0.6338 0.6338 0.6338
Au: 0.9015 0.9015 0.9015

Results
magnetic moment = 0.0 Bohr magnetons per cell
space-group type = R-3m
DOS(E_F) = 3.76 states/eV/f.u.

Number 1: energy of formation from the pure elements -0.5818 eV/atom. Number 2: energy of formation from the pure elements -0.5564 eV/atom. Number 3: energy of formation from the pure elements -0.4809 eV/atom. Number 4: energy of formation from the pure elements -0.4069 eV/atom. Number 5: energy of formation from the pure elements -0.5101 eV/atom. Number 6: energy of formation from the pure elements -0.6463 eV/atom.